Below is a relaxed LiSi crystal, with properties calculated at the PBE level.

## Properties
* E_form (uncorrected): 37 meV/atom
* total energy: -3.63 eV per atom

a b c (Å): 7.832 7.832 7.832
angles (deg): 90.00 90.00 90.00
Fractional coordinates of all 16 atoms:
Si  0.891  0.109  0.109
Li  0.203  0.203  0.203
Li  0.203  0.797  0.797
Li  0.297  0.297  0.703
Si  0.609  0.391  0.609
Si  0.891  0.891  0.891
Li  0.797  0.203  0.797
Si  0.391  0.609  0.609
Li  0.797  0.797  0.203
Li  0.297  0.703  0.297
Si  0.109  0.891  0.109
Si  0.109  0.109  0.891
Si  0.609  0.609  0.391
Li  0.703  0.297  0.297
Si  0.391  0.391  0.391
Li  0.703  0.703  0.703


Below is a relaxed Ag2IrPbN crystal, with properties calculated at the PBE level.

## Properties
* E_form (uncorrected): 2215 meV/atom
* total energy: -3.10 eV per atom

a b c (Å): 5.479 5.135 5.479
angles (deg): 90.00 90.00 90.00
Each line ends with the local moment (μB).
Fractional coordinates of all 5 atoms:
N  0.500  0.500  0.500  1.79
Ag  0.500  0.000  0.000  0.03
Ir  0.000  0.500  0.000  0.97
Ag  0.000  0.000  0.500  0.01
Pb  0.000  0.000  0.000  0.00


Below is a relaxed ScAsRuRh crystal, with properties calculated at the PBE level.

## Properties
* total energy: -7.46 eV per atom
* calculated formation energy: -53 kJ per mole of atoms

a b c (Å): 4.426 4.426 4.426
angles (deg): 60.00 60.00 60.00
Each line ends with the local moment (μB).
Fractional coordinates of all 4 atoms:
Sc  0.500  0.500  0.500  -0.02
Ru  0.250  0.250  0.250  0.45
As  0.000  0.000  0.000  0.04
Rh  0.750  0.750  0.750  0.37


Below is a relaxed InOsF2 crystal, with properties calculated at the PBE level.

## Properties
* E_form (uncorrected): -266 meV/atom
* E above lowest polymorph: 0.564 eV per atom
* total energy: -4.69 eV per atom

a b c (Å): 8.690 8.690 8.690
angles (deg): 18.58 18.58 18.58
Each line ends with the local moment (μB).
Fractional coordinates of all 4 atoms:
In  0.000  0.000  0.000  0.01
F  0.085  0.085  0.085  0.02
F  0.915  0.915  0.915  0.02
Os  0.500  0.500  0.500  1.02


Below is a relaxed Pa2Ni2S5 crystal, with properties calculated at the PBE level.

## Properties
* E_form (uncorrected): -1055 meV/atom
* total energy: -6.74 eV per atom

a b c (Å): 4.514 6.570 6.719
angles (deg): 112.40 90.00 110.09
Each line ends with the local moment (μB).
Fractional coordinates of all 9 atoms:
Pa  0.392  0.784  0.738  0.50
S  0.153  0.306  0.535  -0.02
Ni  0.840  0.680  0.114  -0.06
Ni  0.160  0.320  0.886  -0.06
S  0.847  0.694  0.465  -0.02
Pa  0.608  0.216  0.262  0.50
S  0.637  0.274  0.885  -0.01
S  0.000  0.000  0.000  -0.02
S  0.363  0.726  0.115  -0.01


Below is a relaxed ZrZnRu3 crystal, with properties calculated at the PBE level.

## Properties
* E above lowest polymorph: 0.712 eV per atom
* total energy: -5.93 eV per atom
* calculated formation energy: 155 kJ per mole of atoms

a b c (Å): 4.800 4.800 4.800
angles (deg): 90.00 90.00 90.00
Each line ends with the local moment (μB).
Fractional coordinates of all 5 atoms:
Ru  0.500  0.000  0.000  1.06
Zr  0.000  0.000  0.000  -0.17
Ru  0.000  0.000  0.500  1.30
Ru  0.000  0.500  0.000  1.23
Zn  0.500  0.500  0.500  -0.02